Computed, not measured: a relaxed Ba4LiCl crystal at the PBE level of DFT.

Cell: 7.856 7.856 7.856 Å, 60.00 60.00 60.00°
Sites, in units of the cell vectors:
Ba1 0.125 0.125 0.125
Ba2 0.125 0.125 0.625
Ba3 0.125 0.625 0.125
Ba4 0.625 0.125 0.125
Li1 0.500 0.500 0.500
Cl1 0.750 0.750 0.750

Values from the calculation:
As for the symmetry: F-43m, No. 216. Its raw formation energy is 0.106 eV per atom.

***

Computed, not measured: a relaxed CaAgPSe4 crystal at the PBE level of DFT.

Cell: 8.064 8.064 8.064 Å, 122.49 119.41 88.39°
Sites, in units of the cell vectors:
Ca1 0.000 0.000 0.000
Ca2 0.500 0.000 0.500
Ag1 0.500 0.000 0.000
Ag2 0.500 0.500 0.500
P1 0.101 0.351 0.750
P2 0.899 0.649 0.250
Se1 0.221 0.244 0.523
Se2 0.221 0.698 0.977
Se3 0.281 0.745 0.535
Se4 0.290 0.255 0.035
Se5 0.710 0.745 0.965
Se6 0.719 0.255 0.465
Se7 0.779 0.302 0.023
Se8 0.779 0.756 0.477

Values from the calculation:
As for the symmetry: Imma, No. 74. Its raw formation energy is -0.440 eV per atom.

***

Computed, not measured: a relaxed TiGeMo crystal at the PBE level of DFT.

Cell: 4.466 4.466 2.745 Å, 90.00 90.00 120.00°
Sites, in units of the cell vectors:
Ti1 0.000 0.000 0.000
Ge1 0.333 0.667 0.409
Mo1 0.667 0.333 0.655

Values from the calculation:
As for the symmetry: P3m1, No. 156. The calculation puts the energy of formation at -0.15 eV per atom.

***

Computed, not measured: a relaxed CaCeAu4 crystal at the PBE level of DFT.

Cell: 9.684 9.684 9.684 Å, 156.15 156.15 33.98°
Sites, in units of the cell vectors:
Ca1 0.000 0.000 0.000
Ce1 0.750 0.250 0.500
Au1 0.174 0.674 0.500
Au2 0.326 0.826 0.500
Au3 0.427 0.427 0.000
Au4 0.573 0.573 0.000

Values from the calculation:
As for the symmetry: I-4m2, No. 119. The calculation puts the energy of formation at -0.62 eV per atom. As for the polymorph energy (0 for the lowest one): 0.0487 eV/atom.

***

Computed, not measured: a relaxed Pm4TmIr2 crystal at the PBE level of DFT.

Cell: 9.771 9.771 9.771 Å, 29.93 29.93 29.93°
Sites, in units of the cell vectors:
Pm1 0.102 0.102 0.102
Pm2 0.297 0.297 0.297
Pm3 0.703 0.703 0.703
Pm4 0.898 0.898 0.898
Tm1 0.500 0.500 0.500
Ir1 0.402 0.402 0.402
Ir2 0.598 0.598 0.598

Values from the calculation:
As for the symmetry: R-3m, No. 166. The calculation puts the energy of formation at -0.38 eV per atom.

***

Computed, not measured: a relaxed TbIrC crystal at the PBE level of DFT.

Cell: 3.845 3.845 6.895 Å, 90.00 90.00 90.00°
Sites, in units of the cell vectors:
Tb1 0.000 0.000 0.250
Tb2 0.000 0.000 0.750
Ir1 0.500 0.500 0.000
Ir2 0.500 0.500 0.500
C1 0.000 0.500 0.000
C2 0.500 0.000 0.500

Values from the calculation:
As for the symmetry: P4_2/mmc, No. 131. The calculation puts the energy of formation at -0.49 eV per atom. As for the polymorph energy (0 for the lowest one): 0.0000 eV/atom.

***

Computed, not measured: a relaxed Cs2ScSiCl6 crystal at the PBE level of DFT.

Cell: 7.995 7.995 7.995 Å, 125.83 125.83 80.17°
Sites, in units of the cell vectors:
Cs1 0.250 0.750 0.500
Cs2 0.750 0.250 0.500
Sc1 0.000 0.000 0.000
Si1 0.500 0.500 0.000
Cl1 0.203 0.203 0.000
Cl2 0.245 0.245 0.491
Cl3 0.245 0.755 0.000
Cl4 0.755 0.245 0.000
Cl5 0.755 0.755 0.509
Cl6 0.797 0.797 0.000

Values from the calculation:
As for the symmetry: I4/mmm, No. 139. Its raw formation energy is -1.574 eV per atom.

***

Computed, not measured: a relaxed CaCd3Hg4 crystal at the PBE level of DFT.

Cell: 12.853 12.853 5.240 Å, 101.42 101.42 16.16°
Sites, in units of the cell vectors:
Ca1 0.000 0.000 0.000
Cd1 0.296 0.296 0.941
Cd2 0.500 0.500 0.500
Cd3 0.704 0.704 0.059
Hg1 0.186 0.186 0.560
Hg2 0.401 0.401 0.779
Hg3 0.599 0.599 0.221
Hg4 0.814 0.814 0.440

Values from the calculation:
As for the symmetry: C2/m, No. 12. The calculation puts the energy of formation at -0.04 eV per atom. As for the polymorph energy (0 for the lowest one): 0.1428 eV/atom.

***

Computed, not measured: a relaxed K2CdCoI crystal at the PBE level of DFT.

Cell: 6.235 6.235 5.033 Å, 90.00 90.00 90.00°
Sites, in units of the cell vectors:
K1 0.000 0.500 0.000
K2 0.500 0.000 0.000
Cd1 0.000 0.000 0.500
Co1 0.000 0.000 0.000
I1 0.500 0.500 0.500

Values from the calculation:
As for the symmetry: P4/mmm, No. 123. Its raw formation energy is 0.034 eV per atom. As for the polymorph energy (0 for the lowest one): 0.0000 eV/atom.

***

Computed, not measured: a relaxed Ac2GaSiPd6 crystal at the PBE level of DFT.

Cell: 5.692 6.594 6.861 Å, 75.05 65.59 64.45°
Sites, in units of the cell vectors:
Ac1 0.245 0.223 0.287
Ac2 0.755 0.777 0.713
Ga1 0.500 0.500 0.500
Si1 0.000 0.000 0.000
Pd1 0.243 0.247 0.764
Pd2 0.249 0.619 0.882
Pd3 0.257 0.753 0.235
Pd4 0.743 0.247 0.765
Pd5 0.751 0.381 0.118
Pd6 0.757 0.753 0.236

Values from the calculation:
As for the symmetry: P-1, No. 2. Its raw formation energy is -0.793 eV per atom.

***

Computed, not measured: a relaxed SrTl2HPb crystal at the PBE level of DFT.

Cell: 5.123 5.123 4.969 Å, 90.00 90.00 90.00°
Sites, in units of the cell vectors:
Sr1 0.000 0.000 0.000
Tl1 0.000 0.500 0.500
Tl2 0.500 0.000 0.500
H1 0.000 0.000 0.500
Pb1 0.500 0.500 0.000

Values from the calculation:
As for the symmetry: P4/mmm, No. 123. The value obtained for the total energy is -2.858 eV/atom.

***

Computed, not measured: a relaxed CeTcS crystal at the PBE level of DFT.

Cell: 3.686 3.686 9.202 Å, 90.00 90.00 90.00°
Sites, in units of the cell vectors:
Ce1 0.250 0.250 0.216
Ce2 0.750 0.750 0.784
Tc1 0.250 0.750 0.500
Tc2 0.750 0.250 0.500
S1 0.250 0.250 0.881
S2 0.750 0.750 0.119

Values from the calculation:
As for the symmetry: P4/nmm, No. 129. Its raw formation energy is -0.819 eV per atom.

***

Computed, not measured: a relaxed ReHI crystal at the PBE level of DFT.

Cell: 6.891 6.891 9.312 Å, 112.47 112.47 34.35°
Sites, in units of the cell vectors:
Re1 0.000 0.000 0.000
Re2 0.509 0.509 0.854
Re3 0.873 0.873 0.737
H1 0.116 0.116 0.964
H2 0.573 0.573 0.054
H3 0.971 0.971 0.669
I1 0.295 0.295 0.504
I2 0.646 0.646 0.704
I3 0.939 0.939 0.236

Values from the calculation:
As for the symmetry: Cm, No. 8. The value obtained for the total energy is -5.493 eV/atom.

***

Computed, not measured: a relaxed MgTaS2 crystal at the PBE level of DFT.

Cell: 7.927 7.927 7.927 Å, 25.67 25.67 25.67°
Sites, in units of the cell vectors:
Mg1 0.000 0.000 0.000
Ta1 0.500 0.500 0.500
S1 0.398 0.398 0.398
S2 0.602 0.602 0.602

Values from the calculation:
As for the symmetry: R-3m, No. 166. Its raw formation energy is -0.391 eV per atom.

***

Computed, not measured: a relaxed Rb2CrPt crystal at the PBE level of DFT.

Cell: 9.304 9.304 9.304 Å, 93.99 93.99 149.43°
Sites, in units of the cell vectors:
Rb1 0.375 0.197 0.322
Rb2 0.803 0.125 0.178
Rb3 0.875 0.053 0.678
Rb4 0.947 0.625 0.822
Cr1 0.250 0.750 0.500
Cr2 0.500 0.500 0.000
Pt1 0.000 0.000 0.000
Pt2 0.750 0.250 0.500

Values from the calculation:
As for the symmetry: I-42d, No. 122. The calculation puts the energy of formation at 0.46 eV per atom. As for the polymorph energy (0 for the lowest one): 0.0000 eV/atom.

***

Computed, not measured: a relaxed LaCrCl4 crystal at the PBE level of DFT.

Cell: 5.905 5.905 5.905 Å, 60.00 60.00 60.00°
Sites, in units of the cell vectors:
La1 0.000 0.000 0.000
Cr1 0.250 0.250 0.250
Cl1 0.125 0.625 0.625
Cl2 0.625 0.125 0.625
Cl3 0.625 0.625 0.125
Cl4 0.625 0.625 0.625

Values from the calculation:
As for the symmetry: F-43m, No. 216. Its raw formation energy is -0.265 eV per atom.

***

Computed, not measured: a relaxed TaNbPt2Au crystal at the PBE level of DFT.

Cell: 4.874 4.874 4.752 Å, 90.00 90.00 90.00°
Sites, in units of the cell vectors:
Ta1 0.000 0.000 0.000
Nb1 0.500 0.500 0.000
Pt1 0.000 0.500 0.500
Pt2 0.500 0.000 0.500
Au1 0.500 0.500 0.500

Values from the calculation:
As for the symmetry: P4/mmm, No. 123. The calculation puts the energy of formation at 1.56 eV per atom.

***

Computed, not measured: a relaxed HoMg2Pd crystal at the PBE level of DFT.

Cell: 3.339 3.339 7.693 Å, 90.00 90.00 90.00°
Sites, in units of the cell vectors:
Ho1 0.000 0.000 0.000
Mg1 0.500 0.500 0.309
Mg2 0.500 0.500 0.691
Pd1 0.000 0.000 0.500

Values from the calculation:
As for the symmetry: P4/mmm, No. 123. The calculation puts the energy of formation at -0.36 eV per atom.

***

Computed, not measured: a relaxed ReAg2Hg crystal at the PBE level of DFT.

Cell: 5.861 5.861 5.861 Å, 152.53 128.39 59.45°
Sites, in units of the cell vectors:
Re1 0.000 0.000 0.000
Ag1 0.505 0.505 0.000
Ag2 0.757 0.257 0.500
Hg1 0.248 0.748 0.500

Values from the calculation:
As for the symmetry: Imm2, No. 44. The calculation puts the energy of formation at 0.73 eV per atom.

***

Computed, not measured: a relaxed PrNd2Er2 crystal at the PBE level of DFT.

Cell: 8.927 8.927 8.927 Å, 157.01 142.58 44.38°
Sites, in units of the cell vectors:
Pr1 0.000 0.000 0.000
Nd1 0.213 0.713 0.500
Nd2 0.787 0.287 0.500
Er1 0.401 0.401 0.000
Er2 0.599 0.599 0.000

Values from the calculation:
As for the symmetry: Immm, No. 71. The calculation puts the energy of formation at 0.05 eV per atom. As for the polymorph energy (0 for the lowest one): 0.0000 eV/atom.